{
  "formula": "Ca2LaTe",
  "functional": "PBE",
  "state": "relaxed",
  "formation_energy_uncorrected_ev_per_atom": -0.668,
  "rho_g_cm3": 3.864,
  "dos_ef_per_ev_cell": 4.0,
  "lattice_angstrom": [[4.3672, 0.0000, 0.0000], [0.0000, 2.3118, 7.3783], [0.0000, -2.3118, 7.3783]],
  "species": ["Ca", "Ca", "La", "Te"],
  "frac_coords": [[0.0000, 0.0000, 0.0000], [0.5000, 0.3739, 0.3739], [0.0000, 0.7234, 0.7234], [0.5000, 0.1611, 0.1611]]
}